Record 1
# Ba8As4I3 | Alexandria | PBE | optimized geometry
# total moment = 1.79 μB/cell
# raw total energy = -3.832 eV per atom
data_Ba8As4I3
_cell_length_a 13.769
_cell_length_b 13.959
_cell_length_c 9.723
_cell_angle_alpha 90.00
_cell_angle_beta 134.44
_cell_angle_gamma 90.00
_symmetry_space_group_name_H-M 'C 1 2/m 1'
_symmetry_Int_Tables_number 12
loop_
_symmetry_equiv_pos_as_xyz
'x,y,z'
'-x,-y,-z'
'-x,y,-z'
'x,-y,z'
'x+1/2,y+1/2,z'
'-x+1/2,-y+1/2,-z'
'-x+1/2,y+1/2,-z'
'x+1/2,-y+1/2,z'
loop_
_atom_site_label
_atom_site_fract_x
_atom_site_fract_y
_atom_site_fract_z
Ba1 0.000 0.234 0.000
Ba2 0.000 0.235 0.500
Ba3 0.213 0.000 0.462
Ba4 0.231 0.000 0.978
As1 0.000 0.000 0.000
As2 0.000 0.000 0.500
As3 0.250 0.250 0.000
I1 0.000 0.500 0.500
I2 0.250 0.250 0.500

***

Record 2
# BaAsI3 | Alexandria | PBE | optimized geometry
# total moment = 2.00 μB/cell
# raw total energy = -2.533 eV per atom
data_BaAsI3
_cell_length_a 6.796
_cell_length_b 6.796
_cell_length_c 6.796
_cell_angle_alpha 90.00
_cell_angle_beta 90.00
_cell_angle_gamma 90.00
_symmetry_space_group_name_H-M 'P m -3 m'
_symmetry_Int_Tables_number 221
_symmetry_space_group_name_Hall '-P 4 2 3'
loop_
_atom_site_label
_atom_site_fract_x
_atom_site_fract_y
_atom_site_fract_z
Ba1 0.000 0.000 0.000
As1 0.500 0.500 0.500
I1 0.000 0.000 0.500